Entry 1:
Entry from Alexandria via LeMat-Bulk: a relaxed Ba3ZrIr crystal (PBE).

Structure (extended XYZ):
```
5
Lattice="6.078 0.000 0.000 0.000 6.078 0.000 0.000 0.000 6.078" Properties=species:S:1:pos:R:3 pbc="T T T"
Ba 0.000 0.000 3.039
Ba 0.000 3.039 0.000
Ba 3.039 0.000 0.000
Zr 3.039 3.039 3.039
Ir 0.000 0.000 0.000
```

Values from the calculation:
ΔE_f   12.92 kcal/mol of atoms
Space-group type   Pm-3m, No. 221
Energy above the most stable polymorph in this dataset   0 meV/atom

=====

Entry 2:
Entry from Alexandria via LeMat-Bulk: a relaxed TaBeCd2 crystal (PBE).

Structure (extended XYZ):
```
4
Lattice="2.082 -2.086 0.000 2.082 2.086 0.000 0.000 0.000 7.853" Properties=species:S:1:pos:R:3 pbc="T T T"
Ta 0.000 0.000 0.000
Be 2.082 0.000 6.292
Cd 0.000 0.000 4.605
Cd 2.082 0.000 2.251
```

Values from the calculation:
ΔE_f   4.51 kcal/mol of atoms
Space-group type   Cmm2, No. 35

=====

Entry 3:
Entry from Alexandria via LeMat-Bulk: a relaxed La2TiGe4Pd3 crystal (PBE).

Structure (extended XYZ):
```
10
Lattice="4.299 0.000 0.000 0.000 4.299 0.000 0.000 0.000 10.859" Properties=species:S:1:pos:R:3 pbc="T T T"
La 0.000 2.150 2.612
La 2.150 0.000 8.247
Ti 0.000 0.000 5.429
Ge 0.000 0.000 0.000
Ge 0.000 2.150 6.926
Ge 2.150 0.000 3.933
Ge 2.150 2.150 0.000
Pd 0.000 2.150 9.478
Pd 2.150 0.000 1.380
Pd 2.150 2.150 5.429
```

Values from the calculation:
ΔE_f   -19.04 kcal/mol of atoms
Space-group type   P-4m2, No. 115

=====

Entry 4:
Entry from Alexandria via LeMat-Bulk: a relaxed PaSbC crystal (PBE).

Structure (extended XYZ):
```
3
Lattice="-1.619 1.619 6.024 1.619 -1.619 6.024 1.619 1.619 -6.024" Properties=species:S:1:pos:R:3 pbc="T T T"
Pa 0.000 0.000 0.000
Sb 0.000 0.000 3.304
C 0.000 0.000 6.653
```

Values from the calculation:
Formation energy (no corrections)   0.22 eV/f.u.
Space-group type   I4mm, No. 107
Energy above the most stable polymorph in this dataset   414 meV/atom

=====

Entry 5:
Entry from Alexandria via LeMat-Bulk: a relaxed Re2AgHg crystal (PBE).

Structure (extended XYZ):
```
4
Lattice="3.118 0.000 0.000 0.000 4.445 0.000 0.000 0.000 4.890" Properties=species:S:1:pos:R:3 pbc="T T T"
Re 0.000 0.000 0.000
Re 1.559 2.223 0.000
Ag 0.000 2.223 2.445
Hg 1.559 0.000 2.445
```

Values from the calculation:
ΔE_f   19.52 kcal/mol of atoms
Space-group type   Pmmm, No. 47

=====

Entry 6:
Entry from Alexandria via LeMat-Bulk: a relaxed CsMg2UBr8 crystal (PBE).

Structure (extended XYZ):
```
12
Lattice="3.532 2.039 10.842 -3.532 2.039 10.842 0.000 -4.078 10.842" Properties=species:S:1:pos:R:3 pbc="T T T"
Cs 0.000 0.000 0.000
Mg 0.000 0.000 8.030
Mg 0.000 0.000 24.497
U 0.000 0.000 16.264
Br -1.132 -2.072 14.535
Br -2.361 -0.056 17.992
Br 0.000 0.000 10.463
Br -1.229 2.016 14.535
Br 1.229 -2.016 17.992
Br 0.000 0.000 22.064
Br 2.361 0.056 14.535
Br 1.132 2.072 17.992
```

Values from the calculation:
Formation energy (no corrections)   -17.03 eV/f.u.
Space-group type   R-3, No. 148